--- w ---
# ZrCrIn2 (GGA-PBEsol, relaxed)
data_ZrCrIn2
_space_group_name_H-M_alt 'P 4/m m m'
_space_group_IT_number 123
_space_group_name_Hall '-P 4 2'
_cell_length_a 3.134
_cell_length_b 3.134
_cell_length_c 7.905
_cell_angle_alpha 90.00
_cell_angle_beta 90.00
_cell_angle_gamma 90.00
loop_
_atom_site_label
_atom_site_type_symbol
_atom_site_fract_x
_atom_site_fract_y
_atom_site_fract_z
Zr1 Zr 0.000 0.000 0.000
Cr1 Cr 0.000 0.000 0.500
In1 In 0.500 0.500 0.271
# Size of the total moment = 3.595 μB/cell
# DOS at the Fermi energy = 2.4 states/eV/cell

--- x ---
# ZrCrIn2 (GGA-PBEsol, relaxed)
data_ZrCrIn2
_space_group_name_H-M_alt 'I 4/m m m'
_space_group_IT_number 139
_space_group_name_Hall '-I 4 2'
_cell_length_a 4.265
_cell_length_b 4.265
_cell_length_c 8.445
_cell_angle_alpha 90.00
_cell_angle_beta 90.00
_cell_angle_gamma 90.00
loop_
_atom_site_label
_atom_site_type_symbol
_atom_site_fract_x
_atom_site_fract_y
_atom_site_fract_z
Zr1 Zr 0.000 0.000 0.000
Cr1 Cr 0.000 0.000 0.500
In1 In 0.000 0.500 0.250
# Size of the total moment = 3.831 μB/cell
# DOS at the Fermi energy = 5.3 states/eV/cell

Tell me which of them is the least stable. Sure, it is x.

--- w ---
# KCrIr (GGA-PBEsol, relaxed)
data_KCrIr
_space_group_name_H-M_alt 'I m m 2'
_space_group_IT_number 44
_space_group_name_Hall 'I 2 -2'
_cell_length_a 2.792
_cell_length_b 3.760
_cell_length_c 12.146
_cell_angle_alpha 90.00
_cell_angle_beta 90.00
_cell_angle_gamma 90.00
loop_
_atom_site_label
_atom_site_type_symbol
_atom_site_fract_x
_atom_site_fract_y
_atom_site_fract_z
K1 K 0.000 0.000 0.000
Cr1 Cr 0.000 0.000 0.726
Ir1 Ir 0.000 0.000 0.288
# Size of the total moment = 5.247 μB/cell
# DOS at the Fermi energy = 4.8 states/eV/cell

--- x ---
# KCrIr (GGA-PBEsol, relaxed)
data_KCrIr
_space_group_name_H-M_alt 'F -4 3 m'
_space_group_IT_number 216
_space_group_name_Hall 'F -4 2 3'
_cell_length_a 6.410
_cell_length_b 6.410
_cell_length_c 6.410
_cell_angle_alpha 90.00
_cell_angle_beta 90.00
_cell_angle_gamma 90.00
loop_
_atom_site_label
_atom_site_type_symbol
_atom_site_fract_x
_atom_site_fract_y
_atom_site_fract_z
K1 K 0.000 0.000 0.000
Cr1 Cr 0.000 0.000 0.500
Ir1 Ir 0.250 0.250 0.750
# Size of the total moment = 15.299 μB/cell
# DOS at the Fermi energy = 18.2 states/eV/cell

Tell me which of them is the least stable. Sure, it is x.

--- w ---
# LaCr2Ir (GGA-PBEsol, relaxed)
data_LaCr2Ir
_space_group_name_H-M_alt 'P 1 2/m 1'
_space_group_IT_number 10
_space_group_name_Hall '-P 2y'
_cell_length_a 2.811
_cell_length_b 4.272
_cell_length_c 5.876
_cell_angle_alpha 90.00
_cell_angle_beta 102.32
_cell_angle_gamma 90.00
loop_
_atom_site_label
_atom_site_type_symbol
_atom_site_fract_x
_atom_site_fract_y
_atom_site_fract_z
La1 La 0.000 0.000 0.000
Cr1 Cr 0.171 0.500 0.659
Ir1 Ir 0.500 0.000 0.500
# Size of the total moment = 0.000 μB/cell
# DOS at the Fermi energy = 4.8 states/eV/cell

--- x ---
# LaCr2Ir (GGA-PBEsol, relaxed)
data_LaCr2Ir
_space_group_name_H-M_alt 'R -3 m'
_space_group_IT_number 166
_space_group_name_Hall '-R 3 2"'
_cell_length_a 2.7808
_cell_length_b 2.7808
_cell_length_c 28.3906
_cell_angle_alpha 90.00
_cell_angle_beta 90.00
_cell_angle_gamma 120.00
loop_
_atom_site_label
_atom_site_type_symbol
_atom_site_fract_x
_atom_site_fract_y
_atom_site_fract_z
La1 La 0.0000 0.0000 0.0000
Cr1 Cr 0.0000 0.0000 0.2380
Ir1 Ir 0.0000 0.0000 0.5000
# Size of the total moment = 0.000 μB/cell
# DOS at the Fermi energy = 15.8 states/eV/cell

Tell me which of them is the least stable. Sure, it is x.

--- w ---
# Mg2CrIr (GGA-PBEsol, relaxed)
data_Mg2CrIr
_space_group_name_H-M_alt 'I m m m'
_space_group_IT_number 71
_space_group_name_Hall '-I 2 2'
_cell_length_a 3.129
_cell_length_b 4.492
_cell_length_c 8.842
_cell_angle_alpha 90.00
_cell_angle_beta 90.00
_cell_angle_gamma 90.00
loop_
_atom_site_label
_atom_site_type_symbol
_atom_site_fract_x
_atom_site_fract_y
_atom_site_fract_z
Mg1 Mg 0.000 0.000 0.241
Cr1 Cr 0.000 0.500 0.000
Ir1 Ir 0.000 0.500 0.500
# Size of the total moment = 6.421 μB/cell
# DOS at the Fermi energy = 4.5 states/eV/cell

--- x ---
# Mg2CrIr (GGA-PBEsol, relaxed)
data_Mg2CrIr
_space_group_name_H-M_alt 'I 4/m m m'
_space_group_IT_number 139
_space_group_name_Hall '-I 4 2'
_cell_length_a 3.991
_cell_length_b 3.991
_cell_length_c 7.881
_cell_angle_alpha 90.00
_cell_angle_beta 90.00
_cell_angle_gamma 90.00
loop_
_atom_site_label
_atom_site_type_symbol
_atom_site_fract_x
_atom_site_fract_y
_atom_site_fract_z
Mg1 Mg 0.000 0.500 0.250
Cr1 Cr 0.000 0.000 0.000
Ir1 Ir 0.000 0.000 0.500
# Size of the total moment = 7.696 μB/cell
# DOS at the Fermi energy = 4.9 states/eV/cell

Tell me which of them is the least stable. Sure, it is w.

--- w ---
# MnCrIr2 (GGA-PBEsol, relaxed)
data_MnCrIr2
_space_group_name_H-M_alt 'C 1 m 1'
_space_group_IT_number 8
_space_group_name_Hall 'C -2y'
_cell_length_a 8.661
_cell_length_b 2.638
_cell_length_c 4.495
_cell_angle_alpha 90.00
_cell_angle_beta 101.08
_cell_angle_gamma 90.00
loop_
_atom_site_label
_atom_site_type_symbol
_atom_site_fract_x
_atom_site_fract_y
_atom_site_fract_z
Mn1 Mn 0.000 0.000 0.000
Cr1 Cr 0.256 0.000 0.748
Ir1 Ir 0.006 0.500 0.517
Ir2 Ir 0.249 0.500 0.228
# Size of the total moment = 0.841 μB/cell
# DOS at the Fermi energy = 8.6 states/eV/cell

--- x ---
# MnCrIr2 (GGA-PBEsol, relaxed)
data_MnCrIr2
_space_group_name_H-M_alt 'P 4/m m m'
_space_group_IT_number 123
_space_group_name_Hall '-P 4 2'
_cell_length_a 3.760
_cell_length_b 3.760
_cell_length_c 3.633
_cell_angle_alpha 90.00
_cell_angle_beta 90.00
_cell_angle_gamma 90.00
loop_
_atom_site_label
_atom_site_type_symbol
_atom_site_fract_x
_atom_site_fract_y
_atom_site_fract_z
Mn1 Mn 0.000 0.000 0.000
Cr1 Cr 0.500 0.500 0.000
Ir1 Ir 0.000 0.500 0.500
# Size of the total moment = 0.575 μB/cell
# DOS at the Fermi energy = 3.0 states/eV/cell

Tell me which of them is the least stable. Sure, it is w.

--- w ---
# MnCrIr2 (GGA-PBEsol, relaxed)
data_MnCrIr2
_space_group_name_H-M_alt 'C m m m'
_space_group_IT_number 65
_space_group_name_Hall '-C 2 2'
_cell_length_a 5.294
_cell_length_b 7.245
_cell_length_c 2.647
_cell_angle_alpha 90.00
_cell_angle_beta 90.00
_cell_angle_gamma 90.00
loop_
_atom_site_label
_atom_site_type_symbol
_atom_site_fract_x
_atom_site_fract_y
_atom_site_fract_z
Mn1 Mn 0.000 0.000 0.000
Cr1 Cr 0.000 0.500 0.000
Ir1 Ir 0.250 0.250 0.500
# Size of the total moment = 1.826 μB/cell
# DOS at the Fermi energy = 7.3 states/eV/cell

--- x ---
# MnCrIr2 (GGA-PBEsol, relaxed)
data_MnCrIr2
_space_group_name_H-M_alt 'I 4/m m m'
_space_group_IT_number 139
_space_group_name_Hall '-I 4 2'
_cell_length_a 3.748
_cell_length_b 3.748
_cell_length_c 7.238
_cell_angle_alpha 90.00
_cell_angle_beta 90.00
_cell_angle_gamma 90.00
loop_
_atom_site_label
_atom_site_type_symbol
_atom_site_fract_x
_atom_site_fract_y
_atom_site_fract_z
Mn1 Mn 0.000 0.000 0.000
Cr1 Cr 0.000 0.000 0.500
Ir1 Ir 0.000 0.500 0.250
# Size of the total moment = 1.449 μB/cell
# DOS at the Fermi energy = 8.0 states/eV/cell

Tell me which of them is the least stable. Sure, it is w.